Computed, not measured: an optimized crystal structure of Ce3ZrAs4 at the PBE-GGA level of DFT.

Unit cell a=4.1173 b=7.1347 c=7.1347 alpha=109.28 beta=90.00 gamma=90.00
Each line ends with the local moment (μB).
Positions (direct):
Ce1 0.0000 0.0000 0.5000  0.49
Ce2 0.5000 0.5000 0.5000  0.55
Ce3 0.0000 0.5000 0.0000  0.49
Zr1 0.5000 0.0000 0.0000  0.02
As1 0.0000 0.2360 0.2360  -0.01
As2 0.5000 0.7580 0.2420  -0.02
As3 0.0000 0.7640 0.7640  -0.01
As4 0.5000 0.2420 0.7580  -0.02

Calculated values
DFT total energy (eV per cell): -55.7
ΔH_f (0 K) (meV/atom): -1346.3
Density (g/cm³): 6.81
Fermi-level density of states (states/eV/f.u.): 15.1
Magnetization (μB/f.u.): 1.764